1.
Density functional theory data (PBE) for crystalline TeAuCl3 at its relaxed geometry.

Crystal system   cubic
Space group   No. 221
Total energy   -11.14 eV for the cell shown

Structure (POSCAR):
```
TeAuCl3
1.0
5.144 0.000 0.000
0.000 5.144 0.000
0.000 0.000 5.144
Cl Au Te
3 1 1
direct
0.000 0.000 0.500 Cl
0.500 0.000 0.000 Cl
0.000 0.500 0.000 Cl
0.000 0.000 0.000 Au
0.500 0.500 0.500 Te
```

2.
Density functional theory data (PBE) for crystalline Mn2TlInBr8 at its relaxed geometry.

Crystal system   monoclinic
Space group   No. 12
Total energy   -46.00 eV for the cell shown

Structure (POSCAR):
```
Mn2TlInBr8
1.0
6.691 1.153 0.159
1.208 6.681 0.139
0.185 0.220 9.778
Br In Tl Mn
8 1 1 2
direct
0.242 0.242 0.008 Br
0.742 0.231 0.204 Br
0.704 0.704 0.442 Br
0.769 0.258 0.796 Br
0.758 0.758 0.992 Br
0.231 0.742 0.204 Br
0.258 0.769 0.796 Br
0.296 0.296 0.558 Br
0.000 0.000 0.000 In
0.000 0.000 0.500 Tl
0.367 0.367 0.786 Mn
0.633 0.633 0.214 Mn
```

Which of these has the lowest total energy? Mn2TlInBr8

What is the formula in the first record? TeAuCl3

Which value of total energy does entry 1 give? -11.14 eV for the cell shown

Number 1 is which compound? TeAuCl3